# 1
Computed, not measured: an optimized crystal structure of AcMgInBi3 at the PBE level of DFT.

a b c (Å): 7.0090 4.8701 11.7498
angles (deg): 90.00 99.17 90.00
Space group P2_1/m (No. 11)
Symmetry-distinct sites (fractional):
Ac 0.2063 0.2500 0.3052 (multiplicity 2)
Mg 0.3489 0.7500 0.9027 (multiplicity 2)
In 0.1563 0.2500 0.6322 (multiplicity 2)
Bi 0.0650 0.2500 0.8739 (multiplicity 2)
Bi 0.3129 0.7500 0.5312 (multiplicity 2)
Bi 0.4286 0.7500 0.1614 (multiplicity 2)

Values from the calculation:
Fermi-level density of states, states/eV/f.u.: 0.9
Formation energy, meV per atom: -366
E, eV/atom: -3.7136

=====

# 2
Computed, not measured: an optimized crystal structure of TaTePb2 at the PBE level of DFT.

a b c (Å): 3.8735 4.8428 5.9221
angles (deg): 90.00 108.88 90.00
Space group Pm (No. 6)
Symmetry-distinct sites (fractional):
Ta 0.0000 0.0000 0.0000 (multiplicity 1)
Te 0.1280 0.5000 0.2603 (multiplicity 1)
Pb 0.4080 0.5000 0.8151 (multiplicity 1)
Pb 0.7211 0.0000 0.4456 (multiplicity 1)

Values from the calculation:
Fermi-level density of states, states/eV/f.u.: 2.5
ΔE_f (raw), meV per atom: 368
E, eV/atom: -5.2346

=====

# 3
Computed, not measured: an optimized crystal structure of TlGeBiSe3 at the PBE level of DFT.

a b c (Å): 9.5714 4.0548 9.7320
angles (deg): 90.00 103.77 90.00
Space group P2_1/m (No. 11)
Symmetry-distinct sites (fractional):
Tl 0.1858 0.2500 0.2202 (multiplicity 2)
Ge 0.1147 0.2500 0.5400 (multiplicity 2)
Bi 0.3597 0.7500 0.8371 (multiplicity 2)
Se 0.1299 0.2500 0.8046 (multiplicity 2)
Se 0.2906 0.7500 0.5230 (multiplicity 2)
Se 0.4116 0.7500 0.1442 (multiplicity 2)

Values from the calculation:
ΔE_f (raw), meV per atom: -344
E, eV/atom: -3.8974

=====

# 4
Computed, not measured: an optimized crystal structure of Mn2Se3 at the PBE level of DFT.

a b c (Å): 3.6853 3.6853 27.4060
angles (deg): 90.00 90.00 120.00
Space group R-3m (No. 166, hexagonal axes)
Symmetry-distinct sites (fractional):
Mn 0.0000 0.0000 0.1060 (multiplicity 6)
Se 0.0000 0.0000 0.2752 (multiplicity 6)
Se 0.0000 0.0000 0.5000 (multiplicity 3)

Values from the calculation:
Fermi-level density of states, states/eV/f.u.: 2.5
ΔE_f (raw), meV per atom: -412
E, eV/atom: -6.1704

=====

# 5
Computed, not measured: an optimized crystal structure of HoErGeIr at the PBE level of DFT.

a b c (Å): 4.0674 4.0706 10.5925
angles (deg): 90.00 90.00 90.00
Space group Amm2 (No. 38)
Symmetry-distinct sites (fractional):
Ho 0.0000 0.0000 0.0000 (multiplicity 2)
Er 0.5000 0.0000 0.2814 (multiplicity 2)
Ge 0.5000 0.0000 0.5684 (multiplicity 2)
Ir 0.0000 0.0000 0.7240 (multiplicity 2)

Values from the calculation:
Fermi-level density of states, states/eV/f.u.: 2.3
Formation energy, meV per atom: -875
E, eV/atom: -6.5297
Energy relative to the lowest polymorph listed for this composition, meV per atom: 0

=====

# 6
Computed, not measured: an optimized crystal structure of Tl12As3Au5 at the PBE level of DFT.

a b c (Å): 17.2729 17.2729 17.2729
angles (deg): 90.00 90.00 90.00
Space group Ia-3d (No. 230)
Symmetry-distinct sites (fractional):
Tl 0.0184 0.0725 0.6519 (multiplicity 96)
As 0.0000 0.2500 0.1250 (multiplicity 24)
Au 0.0000 0.0000 0.0000 (multiplicity 16)
Au 0.0000 0.2500 0.3750 (multiplicity 24)

Values from the calculation:
Fermi-level density of states, states/eV/f.u.: 6.0
Formation energy, meV per atom: 77
E, eV/atom: -2.8600